No. 1
# SrTl2Cl | Alexandria via LeMat-Bulk | GGA-PBE | relaxed
# - Uncorrected formation energy: -17.69 kcal/mol of atoms
# - Polymorph energy (0 for the lowest one): 0.30 eV/f.u.
data_SrTl2Cl
_cell_length_a 5.386
_cell_length_b 5.386
_cell_length_c 6.790
_cell_angle_alpha 100.31
_cell_angle_beta 100.31
_cell_angle_gamma 43.99
_space_group_name_H-M_alt 'P 1'
_space_group_IT_number 1
loop_
_space_group_symop_operation_xyz
'x,y,z'
loop_
_atom_site_label
_atom_site_type_symbol
_atom_site_fract_x
_atom_site_fract_y
_atom_site_fract_z
Sr1 Sr 0.000 0.000 0.000
Tl1 Tl 0.254 0.254 0.631
Tl2 Tl 0.516 0.516 0.465
Cl1 Cl 0.715 0.715 0.065

=====

No. 2
# ZnCd2Cl | Alexandria via LeMat-Bulk | GGA-PBE | relaxed
# - Uncorrected formation energy: -0.59 kcal/mol of atoms
# - Polymorph energy (0 for the lowest one): 0.88 eV/f.u.
data_ZnCd2Cl
_cell_length_a 6.116
_cell_length_b 6.116
_cell_length_c 6.116
_cell_angle_alpha 139.93
_cell_angle_beta 139.93
_cell_angle_gamma 57.95
_space_group_name_H-M_alt 'P 1'
_space_group_IT_number 1
loop_
_space_group_symop_operation_xyz
'x,y,z'
loop_
_atom_site_label
_atom_site_type_symbol
_atom_site_fract_x
_atom_site_fract_y
_atom_site_fract_z
Zn1 Zn 0.000 0.000 0.000
Cd1 Cd 0.250 0.750 0.500
Cd2 Cd 0.750 0.250 0.500
Cl1 Cl 0.500 0.500 0.000

=====

No. 3
# Ho3TiTl3Te8 | Alexandria via LeMat-Bulk | GGA-PBE | relaxed
# - Uncorrected formation energy: -21.58 kcal/mol of atoms
data_Ho3TiTl3Te8
_cell_length_a 9.669
_cell_length_b 9.669
_cell_length_c 9.669
_cell_angle_alpha 52.94
_cell_angle_beta 52.94
_cell_angle_gamma 52.94
_space_group_name_H-M_alt 'P 1'
_space_group_IT_number 1
loop_
_space_group_symop_operation_xyz
'x,y,z'
loop_
_atom_site_label
_atom_site_type_symbol
_atom_site_fract_x
_atom_site_fract_y
_atom_site_fract_z
Ho1 Ho 0.000 0.500 0.500
Ho2 Ho 0.500 0.000 0.500
Ho3 Ho 0.500 0.500 0.000
Ti1 Ti 0.000 0.000 0.000
Tl1 Tl 0.000 0.000 0.500
Tl2 Tl 0.000 0.500 0.000
Tl3 Tl 0.500 0.000 0.000
Te1 Te 0.223 0.223 0.757
Te2 Te 0.223 0.757 0.223
Te3 Te 0.243 0.777 0.777
Te4 Te 0.262 0.262 0.262
Te5 Te 0.738 0.738 0.738
Te6 Te 0.757 0.223 0.223
Te7 Te 0.777 0.243 0.777
Te8 Te 0.777 0.777 0.243

=====

No. 4
# Co2HgPt | Alexandria via LeMat-Bulk | GGA-PBE | relaxed
# - E_form: 0.279 eV/atom
data_Co2HgPt
_cell_length_a 4.637
_cell_length_b 4.637
_cell_length_c 4.958
_cell_angle_alpha 100.08
_cell_angle_beta 100.08
_cell_angle_gamma 35.39
_space_group_name_H-M_alt 'P 1'
_space_group_IT_number 1
loop_
_space_group_symop_operation_xyz
'x,y,z'
loop_
_atom_site_label
_atom_site_type_symbol
_atom_site_fract_x
_atom_site_fract_y
_atom_site_fract_z
Co1 Co 0.244 0.244 0.204
Co2 Co 0.756 0.756 0.796
Hg1 Hg 0.000 0.000 0.500
Pt1 Pt 0.500 0.500 0.000

=====

no.,E_tot (eV/atom),total magnetic moment (μB/f.u.)
1,-2.83,0.000
2,-1.26,0.000
3,-4.53,0.074
4,-4.86,3.604